Material: MnAlS3
Method: DFT, PBE-GGA
State: optimized geometry

Properties
Distance to the lowest polymorph of the same formula = 871 meV/atom
Space-group type = Pm-3m

Unit cell a=4.5399 b=4.5399 c=4.5399 alpha=90.00 beta=90.00 gamma=90.00
Last column: magnetic moment on the atom in μB.
Atoms (fractional coordinates):
Al: 0.5000 0.5000 0.5000  -0.06
S: 0.0000 0.5000 0.0000  0.03
S: 0.5000 0.0000 0.0000  0.04
S: 0.0000 0.0000 0.5000  -0.02
Mn: 0.0000 0.0000 0.0000  2.88


Material: MnAl2S4
Method: DFT, PBE-GGA
State: optimized geometry

Properties
Space-group type = C2/m

Unit cell a=3.5355 b=6.0293 c=6.9680 alpha=117.16 beta=104.70 gamma=90.00
Last column: magnetic moment on the atom in μB.
Atoms (fractional coordinates):
S: 0.6415 0.2990 0.2831  0.07
S: 0.1310 0.8043 0.2620  0.03
S: 0.8690 0.1957 0.7380  0.03
S: 0.3585 0.7010 0.7169  0.07
Mn: 0.0000 0.0000 0.0000  4.29
Al: 0.7355 0.7518 0.4709  0.01
Al: 0.2646 0.2482 0.5291  0.01


Short version: formation energy (no corrections) = 0.107, -0.894 eV per atom, in the order given.
Short version: mass density = 3.16, 3.11 g/cm³, in the order given.